1.
## ScAgSeN2 (PBE)

Data for a geometry-optimized ScAgSeN2 structure.

Calculated values
Distance to the lowest polymorph of the same formula (meV per atom): 0.0

The structure in extended XYZ format:
```
5
Lattice="4.208 0.000 0.000 0.000 4.208 0.000 0.000 0.000 5.478" Properties=species:S:1:pos:R:3 pbc="T T T"
Ag 2.104 2.104 2.739
Sc 0.000 0.000 0.000
N 0.000 2.104 0.000
N 2.104 0.000 0.000
Se 0.000 0.000 2.739
```

2.
## SmSc2AgN (PBE)

Data for a geometry-optimized SmSc2AgN structure.

The structure in extended XYZ format:
```
5
Lattice="4.440 0.000 0.000 0.000 4.440 0.000 0.000 0.000 4.986" Properties=species:S:1:pos:R:3 pbc="T T T"
Sc 0.000 2.220 4.986
Sc 2.220 4.440 4.986
Sm 0.000 4.440 2.493
N 0.000 0.000 4.986
Ag 2.220 2.220 2.495
```

3.
## TbSc2AgN (PBE)

Data for a geometry-optimized TbSc2AgN structure.

The structure in extended XYZ format:
```
5
Lattice="-4.334 -0.559 -0.716 0.325 -4.213 1.322 -0.936 1.368 4.592" Properties=species:S:1:pos:R:3 pbc="T T T"
Tb -0.142 -3.529 3.618
N 0.000 0.000 0.000
Sc -1.841 -4.493 0.964
Sc -0.773 -0.739 5.253
Ag -2.472 -1.703 2.599
```

4.
## ScAgTeN2 (PBE)

Data for a geometry-optimized ScAgTeN2 structure.

Calculated values
Distance to the lowest polymorph of the same formula (meV per atom): 598.3

The structure in extended XYZ format:
```
5
Lattice="4.178 0.000 0.000 0.000 4.178 0.000 0.000 0.000 5.572" Properties=species:S:1:pos:R:3 pbc="T T T"
Sc 2.089 2.089 2.786
N 2.089 0.000 0.000
Ag 0.000 0.000 0.000
N 0.000 2.089 0.000
Te 0.000 0.000 2.786
```

5.
## ScAgTeN2 (PBE)

Data for a geometry-optimized ScAgTeN2 structure.

Calculated values
Distance to the lowest polymorph of the same formula (meV per atom): 0.0

The structure in extended XYZ format:
```
5
Lattice="-1.023 3.186 2.579 -0.700 -2.755 3.125 5.725 0.466 1.694" Properties=species:S:1:pos:R:3 pbc="T T T"
Te 2.863 0.233 0.847
N -0.511 1.593 1.290
N -0.350 -1.377 1.563
Sc 0.000 0.000 0.000
Ag 2.001 0.449 3.699
```

6.
## ScTiAgN2 (PBE)

Data for a geometry-optimized ScTiAgN2 structure.

The structure in extended XYZ format:
```
5
Lattice="4.092 0.000 0.000 0.000 5.384 0.000 0.000 0.000 4.092" Properties=species:S:1:pos:R:3 pbc="T T T"
N 2.046 0.000 0.000
N 0.000 0.000 2.046
Ag 2.046 2.692 2.046
Ti 0.000 2.692 0.000
Sc 0.000 0.000 0.000
```

7.
## Sc2VAgN (PBE)

Data for a geometry-optimized Sc2VAgN structure.

The structure in extended XYZ format:
```
5
Lattice="-0.005 3.983 -2.151 -2.678 1.732 3.213 3.144 1.100 2.028" Properties=species:S:1:pos:R:3 pbc="T T T"
Sc -1.339 0.866 1.606
V 1.572 0.550 1.014
Ag 0.230 3.407 1.545
N 0.000 0.000 0.000
Sc -0.003 1.992 -1.076
```

8.
## AgSeN2 (PBE)

Data for a geometry-optimized AgSeN2 structure.

The structure in extended XYZ format:
```
4
Lattice="1.976 0.000 5.879 -0.988 1.711 5.879 -0.988 -1.711 5.879" Properties=species:S:1:pos:R:3 pbc="T T T"
Se 0.000 0.000 0.000
N 0.000 0.000 1.858
Ag 0.000 0.000 8.819
N 0.000 0.000 15.781
```

9.
## AgSeN2 (PBE)

Data for a geometry-optimized AgSeN2 structure.

The structure in extended XYZ format:
```
8
Lattice="-3.208 -2.310 -5.924 -1.499 -2.706 0.244 -10.567 4.364 3.230" Properties=species:S:1:pos:R:3 pbc="T T T"
N -11.802 2.007 -0.986
Ag -6.033 0.829 1.737
Se -8.478 0.312 0.716
Ag -6.888 1.027 -1.347
N -3.472 -2.660 -1.464
N -13.599 -0.632 -1.813
N -1.675 -0.020 -0.638
Se -6.796 -0.964 -3.167
```

10.
## AgSeN (PBE)

Data for a geometry-optimized AgSeN structure.

The structure in extended XYZ format:
```
6
Lattice="-4.172 0.128 -4.144 1.994 -4.201 3.591 -5.681 4.582 3.508" Properties=species:S:1:pos:R:3 pbc="T T T"
Ag -5.209 1.752 -0.533
Ag -1.783 -0.808 4.902
Se -4.565 1.039 2.201
Se -2.426 -0.094 2.168
N -3.284 -1.662 -1.723
N -7.878 2.739 1.946
```

11.
## Ag2SeN2 (PBE)

Data for a geometry-optimized Ag2SeN2 structure.

The structure in extended XYZ format:
```
5
Lattice="4.647 0.000 0.000 -2.323 3.958 -0.709 0.000 -1.384 8.648" Properties=species:S:1:pos:R:3 pbc="T T T"
Ag 0.000 1.170 7.691
Ag 2.323 1.404 0.249
N 2.323 2.775 3.353
N 0.000 -0.201 4.587
Se 0.000 0.000 0.000
```

12.
## AgSeN2 (PBE)

Data for a geometry-optimized AgSeN2 structure.

The structure in extended XYZ format:
```
4
Lattice="1.790 0.000 6.391 -0.895 1.550 6.391 -0.895 -1.550 6.391" Properties=species:S:1:pos:R:3 pbc="T T T"
Se 0.000 0.000 9.586
N 0.000 0.000 2.110
Ag 0.000 0.000 0.000
N 0.000 0.000 17.062
```

Respective formation energy without anion corrections values: 643; -799; -840; 1261; 662; 1204; -748; 1415; 59; 59; 88; 1164 meV/atom.
Respective VASP energy values: -5.220; -6.510; -6.534; -4.534; -5.133; -5.542; -7.339; -4.331; -5.688; -4.828; -5.079; -4.582 eV/atom.